LaPr3SmHo | GGA-PBE | optimized geometry

abc: 8.1899 5.2230 10.4083
angles: 90.00 108.52 90.00
Last column: nearest neighbours and their distance in Å.
Space group P2_1/m (No. 11)
Unique sites:
La1 0.1701 0.2500 0.2914 [2 per cell]  3 Sm 3.66-3.67, 1 Ho 3.67, 8 Pr 3.69-3.72
Pr1 0.1701 0.7500 0.5437 [2 per cell]  1 Ho 3.65, 3 Sm 3.66-3.68, 5 Pr 3.68-3.72, 3 La 3.70-3.71
Pr2 0.1708 0.2500 0.7933 [2 per cell]  1 Sm 3.64, 3 Ho 3.64, 6 Pr 3.67-3.73, 2 La 3.72
Pr3 0.1718 0.7500 0.0415 [2 per cell]  3 Ho 3.61-3.66, 1 Sm 3.64, 5 Pr 3.67-3.73, 3 La 3.69-3.70
Sm1 0.4997 0.2500 0.6269 [2 per cell]  5 Pr 3.64-3.68, 3 La 3.66-3.67, 2 Ho 3.69, 2 Sm 3.72
Ho1 0.4981 0.7500 0.8767 [2 per cell]  7 Pr 3.61-3.66, 2 Ho 3.66, 1 La 3.67, 2 Sm 3.69

Output
DFT formation energy = 0.0206 eV/atom
Size of the total moment = 0.00 μB per atom
Crystal system = monoclinic
D(E_F) = 9.8 states/eV/f.u.
Calculated volume = 35.2 Å³/atom



LaPr2Sm2Ho2 | GGA-PBE | optimized geometry

abc: 11.8739 3.5759 12.0909
angles: 90.00 109.40 90.00
Last column: nearest neighbours and their distance in Å.
Space group C2/m (No. 12)
Unique sites:
La1 0.0000 0.0000 0.0000 [2 per cell]  6 Ho 3.57-3.61, 2 La 3.58, 4 Sm 3.60
Pr1 0.1686 0.5000 0.5834 [4 per cell]  4 Sm 3.57-3.67, 5 Pr 3.58-3.84, 2 Ho 3.69
Sm1 0.0511 0.5000 0.2705 [4 per cell]  3 Ho 3.55-3.60, 4 Pr 3.57-3.67, 2 Sm 3.58, 2 La 3.60
Ho1 0.2243 0.0000 0.8631 [4 per cell]  3 Sm 3.55-3.60, 3 La 3.57-3.61, 4 Ho 3.58-3.63, 2 Pr 3.69

Output
DFT formation energy = 0.0858 eV/atom
Size of the total moment = 0.00 μB per atom
Crystal system = monoclinic
D(E_F) = 12.2 states/eV/f.u.
Calculated volume = 34.6 Å³/atom



La2Pr3SmHo6 | GGA-PBE | optimized geometry

abc: 6.2913 10.8955 11.8532
angles: 90.00 100.17 90.00
Last column: nearest neighbours and their distance in Å.
Space group C2/m (No. 12)
Unique sites:
La1 0.0000 0.1663 0.0000 [4 per cell]  6 Ho 3.60, 3 La 3.62-3.64, 3 Sm 3.63-3.64
Pr1 0.0000 0.0000 0.5000 [2 per cell]  6 Ho 3.59, 6 Pr 3.63
Pr2 0.0000 0.3334 0.5000 [4 per cell]  6 Ho 3.59, 6 Pr 3.63
Sm1 0.0000 0.5000 0.0000 [2 per cell]  6 Ho 3.59, 6 La 3.63-3.64
Ho1 0.2488 0.5000 0.7496 [4 per cell]  3 Pr 3.59, 1 Sm 3.59, 2 La 3.60, 6 Ho 3.62-3.64
Ho2 0.2502 0.1663 0.7497 [8 per cell]  3 Pr 3.59, 1 Sm 3.59, 2 La 3.60, 6 Ho 3.62-3.64

Output
DFT formation energy = 0.0136 eV/atom
Size of the total moment = 0.00 μB per atom
Crystal system = monoclinic
D(E_F) = 13.3 states/eV/f.u.
Calculated volume = 33.3 Å³/atom



LaPrSm2Ho5 | GGA-PBE | optimized geometry

abc: 8.7694 8.7694 15.5028
angles: 90.00 90.00 90.00
Last column: nearest neighbours and their distance in Å.
Space group I4/mcm (No. 140)
Unique sites:
La1 0.0000 0.5000 0.2500 [4 per cell]  4 Ho 3.12
Pr1 0.0000 0.0000 0.2500 [4 per cell]  10 Ho 3.62-3.88
Sm1 0.1171 0.3829 0.0000 [8 per cell]  1 Sm 2.90, 2 Ho 3.03
Ho1 0.0000 0.0000 0.0000 [4 per cell]  4 Sm 3.51, 8 Ho 3.77, 2 Pr 3.88
Ho2 0.2059 0.2941 0.3657 [16 per cell]  1 Sm 3.03, 1 La 3.12

Output
DFT formation energy = 0.2449 eV/atom
Size of the total moment = 0.00 μB per atom
Crystal system = tetragonal
D(E_F) = 9.5 states/eV/f.u.
Calculated volume = 33.1 Å³/atom



La3PrSmHo | GGA-PBE | optimized geometry

abc: 20.9246 5.9194 6.8963
angles: 90.00 90.10 90.00
Last column: nearest neighbours and their distance in Å.
Space group C2/m (No. 12)
Unique sites:
La1 0.0166 0.0000 0.2593 [4 per cell]  1 Pr 3.23, 1 Ho 3.33, 2 Sm 3.36, 1 La 3.39
La2 0.1589 0.5000 0.2702 [4 per cell]  2 Ho 3.49, 2 Pr 3.55, 4 La 3.60-3.90, 1 Sm 3.90
La3 0.2199 0.5000 0.7593 [4 per cell]  3 Pr 3.35-3.73, 1 Sm 3.37, 3 Ho 3.46-3.67, 2 La 3.60-3.75
Pr1 0.1427 0.0000 0.9904 [4 per cell]  1 Ho 3.13, 2 La 3.23-3.35
Sm1 0.0590 0.5000 0.7467 [4 per cell]  3 La 3.36-3.37
Ho1 0.1469 0.0000 0.5361 [4 per cell]  1 Pr 3.13, 4 La 3.33-3.49

Output
DFT formation energy = 0.1511 eV/atom
Size of the total moment = 0.00 μB per atom
Crystal system = monoclinic
D(E_F) = 8.5 states/eV/f.u.
Calculated volume = 35.6 Å³/atom



La2PrSm2Ho2 | GGA-PBE | optimized geometry

abc: 11.5228 5.1439 8.1851
angles: 90.00 97.97 90.00
Last column: nearest neighbours and their distance in Å.
Space group C2/m (No. 12)
Unique sites:
La1 0.1425 0.0000 0.4269 [4 per cell]  5 Ho 3.64-3.66, 3 La 3.65-3.66, 1 Pr 3.65, 3 Sm 3.65-3.69
Pr1 0.0000 0.0000 0.0000 [2 per cell]  6 Sm 3.62-3.65, 4 Ho 3.64, 2 La 3.65
Sm1 0.2156 0.5000 0.1408 [4 per cell]  2 Sm 3.61, 3 Pr 3.62-3.65, 4 Ho 3.64-3.66, 3 La 3.65-3.69
Ho1 0.0711 0.5000 0.7155 [4 per cell]  5 La 3.64-3.66, 2 Pr 3.64, 4 Sm 3.64-3.66, 1 Ho 3.68

Output
DFT formation energy = 0.0245 eV/atom
Size of the total moment = 0.00 μB per atom
Crystal system = monoclinic
D(E_F) = 11.6 states/eV/f.u.
Calculated volume = 34.3 Å³/atom



Number 1: raw total energy -28.440 eV per formula unit. Number 2: raw total energy -32.480 eV per formula unit. Number 3: raw total energy -56.215 eV per formula unit. Number 4: raw total energy -39.830 eV per formula unit. Number 5: raw total energy -27.952 eV per formula unit. Number 6: raw total energy -33.057 eV per formula unit.